Entry 1:
VASP calculation (PBE-GGA) on YNi2Sb2 after structural relaxation.

a b c (Å): 4.4381 4.4381 9.9338
angles (deg): 90.00 90.00 90.00
Space group P4/nmm (No. 129, origin choice 2)
Symmetry-distinct sites (fractional):
Y: 0.2500 0.2500 0.2389 [2 per cell]
Ni: 0.2500 0.2500 0.6266 [2 per cell]
Ni: 0.2500 0.7500 0.0000 [2 per cell]
Sb: 0.2500 0.2500 0.8743 [2 per cell]
Sb: 0.2500 0.7500 0.5000 [2 per cell]

Values from the calculation:
total DFT energy (no corrections) = -5.750 eV/atom

***

Entry 2:
VASP calculation (PBE-GGA) on NaGdNiSe3 after structural relaxation.

a b c (Å): 3.9605 13.7352 10.5100
angles (deg): 90.00 90.00 90.00
Space group Cmcm (No. 63)
Symmetry-distinct sites (fractional):
Na: 0.0000 0.2471 0.2500 [4 per cell]
Gd: 0.0000 0.0000 0.0000 [4 per cell]
Ni: 0.0000 0.4840 0.7500 [4 per cell]
Se: 0.0000 0.0847 0.7500 [4 per cell]
Se: 0.0000 0.3643 0.5866 [8 per cell]

Values from the calculation:
E above lowest polymorph = 0.80 kcal/mol of atoms

***

Entry 3:
VASP calculation (PBE-GGA) on SmHgNO after structural relaxation.

a b c (Å): 3.9397 6.5562 6.2335
angles (deg): 90.00 90.00 90.00
Space group Pmc2_1 (No. 26)
Symmetry-distinct sites (fractional):
Sm: 0.0000 0.1470 0.0000 [2 per cell]
Hg: 0.5000 0.4393 0.5695 [2 per cell]
N: 0.5000 0.2983 0.8679 [2 per cell]
O: 0.0000 0.1514 0.3527 [2 per cell]

Values from the calculation:
E above lowest polymorph = 1.27 kcal/mol of atoms

***

Entry 4:
VASP calculation (PBE-GGA) on RbCuSn after structural relaxation.

a b c (Å): 7.2194 7.2194 7.2194
angles (deg): 90.00 90.00 90.00
Space group F-43m (No. 216)
Symmetry-distinct sites (fractional):
Rb: 0.0000 0.0000 0.0000 [4 per cell]
Cu: 0.2500 0.2500 0.2500 [4 per cell]
Sn: 0.0000 0.0000 0.5000 [4 per cell]

Values from the calculation:
E above lowest polymorph = 0.00 kcal/mol of atoms

***

Entry 5:
VASP calculation (PBE-GGA) on Tb2Pd5Pt after structural relaxation.

a b c (Å): 5.8205 11.6459 4.1306
angles (deg): 90.00 90.00 90.00
Space group Pbam (No. 55)
Symmetry-distinct sites (fractional):
Tb: 0.2495 0.1247 0.0000 [4 per cell]
Pd: 0.0000 0.0000 0.5000 [2 per cell]
Pd: 0.0019 0.7497 0.5000 [4 per cell]
Pd: 0.2480 0.3752 0.0000 [4 per cell]
Pt: 0.0000 0.5000 0.5000 [2 per cell]

Values from the calculation:
total DFT energy (no corrections) = -6.057 eV/atom

***

Entry 6:
VASP calculation (PBE-GGA) on TbDyPd2Pb after structural relaxation.

a b c (Å): 3.6389 4.2384 14.9765
angles (deg): 90.00 90.00 90.00
Space group Amm2 (No. 38)
Symmetry-distinct sites (fractional):
Tb: 0.0000 0.0000 0.0000 [2 per cell]
Dy: 0.0000 0.0000 0.7300 [2 per cell]
Pd: 0.5000 0.0000 0.1734 [2 per cell]
Pd: 0.5000 0.0000 0.5577 [2 per cell]
Pb: 0.5000 0.0000 0.3650 [2 per cell]

Values from the calculation:
total DFT energy (no corrections) = -5.472 eV/atom

***

Entry 7:
VASP calculation (PBE-GGA) on PrDyTl2Pt4 after structural relaxation.

a b c (Å): 4.6709 4.6709 9.1308
angles (deg): 90.00 90.00 120.00
Space group P-6m2 (No. 187)
Symmetry-distinct sites (fractional):
Pr: 0.0000 0.0000 0.0000 [1 per cell]
Dy: 0.3333 0.6667 0.5000 [1 per cell]
Tl: 0.6667 0.3333 0.2546 [2 per cell]
Pt: 0.0000 0.0000 0.3487 [2 per cell]
Pt: 0.3333 0.6667 0.1597 [2 per cell]

Values from the calculation:
total DFT energy (no corrections) = -5.512 eV/atom

***

Entry 8:
VASP calculation (PBE-GGA) on ZnCdFeSn after structural relaxation.

a b c (Å): 6.6524 6.6524 6.6524
angles (deg): 90.00 90.00 90.00
Space group F-43m (No. 216)
Symmetry-distinct sites (fractional):
Zn: 0.0000 0.0000 0.0000 [4 per cell]
Cd: 0.2500 0.2500 0.7500 [4 per cell]
Fe: 0.0000 0.0000 0.5000 [4 per cell]
Sn: 0.2500 0.2500 0.2500 [4 per cell]

Values from the calculation:
E above lowest polymorph = 0.00 kcal/mol of atoms

***

Entry 9:
VASP calculation (PBE-GGA) on TmLuTlC after structural relaxation.

a b c (Å): 3.5433 3.5433 15.9690
angles (deg): 90.00 90.00 120.00
Space group P-6m2 (No. 187)
Symmetry-distinct sites (fractional):
Tm: 0.0000 0.0000 0.1680 [2 per cell]
Lu: 0.6667 0.3333 0.3326 [2 per cell]
Tl: 0.0000 0.0000 0.5000 [1 per cell]
Tl: 0.6667 0.3333 0.0000 [1 per cell]
C: 0.3333 0.6667 0.2509 [2 per cell]

Values from the calculation:
total DFT energy (no corrections) = -5.579 eV/atom

***

Entry 10:
VASP calculation (PBE-GGA) on ErFeSi2Os after structural relaxation.

a b c (Å): 4.0341 4.0341 9.6637
angles (deg): 90.00 90.00 90.00
Space group I-4m2 (No. 119)
Symmetry-distinct sites (fractional):
Er: 0.0000 0.0000 0.0000 [2 per cell]
Fe: 0.0000 0.5000 0.2500 [2 per cell]
Si: 0.0000 0.0000 0.3729 [4 per cell]
Os: 0.0000 0.5000 0.7500 [2 per cell]

Values from the calculation:
total DFT energy (no corrections) = -7.678 eV/atom

***

Entry 11:
VASP calculation (PBE-GGA) on YLuAlNi after structural relaxation.

a b c (Å): 6.8660 6.8660 6.8660
angles (deg): 90.00 90.00 90.00
Space group F-43m (No. 216)
Symmetry-distinct sites (fractional):
Y: 0.0000 0.0000 0.0000 [4 per cell]
Lu: 0.2500 0.2500 0.2500 [4 per cell]
Al: 0.0000 0.0000 0.5000 [4 per cell]
Ni: 0.2500 0.2500 0.7500 [4 per cell]

Values from the calculation:
total DFT energy (no corrections) = -5.112 eV/atom

***

Entry 12:
VASP calculation (PBE-GGA) on Ag2CO3 after structural relaxation.

a b c (Å): 9.2902 9.2902 6.2437
angles (deg): 90.00 90.00 120.00
Space group P31c (No. 159)
Symmetry-distinct sites (fractional):
Ag: 0.0229 0.6715 0.0000 [6 per cell]
Ag: 0.0294 0.3345 0.7842 [6 per cell]
C: 0.0000 0.0000 0.3871 [2 per cell]
C: 0.3333 0.6667 0.2333 [2 per cell]
C: 0.3333 0.6667 0.7128 [2 per cell]
O: 0.0784 0.9176 0.3870 [6 per cell]
O: 0.1726 0.5950 0.7135 [6 per cell]
O: 0.2368 0.7307 0.2355 [6 per cell]

Values from the calculation:
E above lowest polymorph = 0.00 kcal/mol of atoms

***

Entry 13:
VASP calculation (PBE-GGA) on CdCoGeW after structural relaxation.

a b c (Å): 6.2793 6.2793 6.2793
angles (deg): 90.00 90.00 90.00
Space group F-43m (No. 216)
Symmetry-distinct sites (fractional):
Cd: 0.0000 0.0000 0.0000 [4 per cell]
Co: 0.2500 0.2500 0.7500 [4 per cell]
Ge: 0.0000 0.0000 0.5000 [4 per cell]
W: 0.2500 0.2500 0.2500 [4 per cell]

Values from the calculation:
E above lowest polymorph = 0.00 kcal/mol of atoms

***

Entry 14:
VASP calculation (PBE-GGA) on NdGa2IrPt after structural relaxation.

a b c (Å): 4.3263 4.3263 10.2024
angles (deg): 90.00 90.00 90.00
Space group P4/nmm (No. 129, origin choice 2)
Symmetry-distinct sites (fractional):
Nd: 0.2500 0.2500 0.2382 [2 per cell]
Ga: 0.2500 0.2500 0.8755 [2 per cell]
Ga: 0.2500 0.7500 0.5000 [2 per cell]
Ir: 0.2500 0.7500 0.0000 [2 per cell]
Pt: 0.2500 0.2500 0.6320 [2 per cell]

Values from the calculation:
total DFT energy (no corrections) = -6.011 eV/atom

***

Entry 15:
VASP calculation (PBE-GGA) on Lu4NiPbN2 after structural relaxation.

a b c (Å): 3.4274 3.4274 14.2779
angles (deg): 90.00 90.00 120.00
Space group P-6m2 (No. 187)
Symmetry-distinct sites (fractional):
Lu: 0.0000 0.0000 0.1312 [2 per cell]
Lu: 0.3333 0.6667 0.3180 [2 per cell]
Ni: 0.3333 0.6667 0.0000 [1 per cell]
Pb: 0.0000 0.0000 0.5000 [1 per cell]
N: 0.6667 0.3333 0.2401 [2 per cell]

Values from the calculation:
total DFT energy (no corrections) = -6.541 eV/atom

***

Entry 16:
VASP calculation (PBE-GGA) on Cu6Ag6Sb4Te12Se after structural relaxation.

a b c (Å): 11.8568 11.8568 11.8568
angles (deg): 90.00 90.00 90.00
Space group I-43m (No. 217)
Symmetry-distinct sites (fractional):
Cu: 0.0000 0.2500 0.5000 [12 per cell]
Ag: 0.0000 0.0000 0.2207 [12 per cell]
Sb: 0.2204 0.2204 0.2204 [8 per cell]
Te: 0.1234 0.1234 0.6263 [24 per cell]
Se: 0.0000 0.0000 0.0000 [2 per cell]

Values from the calculation:
E above lowest polymorph = 0.00 kcal/mol of atoms

***

Entry 17:
VASP calculation (PBE-GGA) on CdTcOs2 after structural relaxation.

a b c (Å): 6.2951 6.2951 6.2951
angles (deg): 90.00 90.00 90.00
Space group F-43m (No. 216)
Symmetry-distinct sites (fractional):
Cd: 0.0000 0.0000 0.0000 [4 per cell]
Tc: 0.2500 0.2500 0.7500 [4 per cell]
Os: 0.0000 0.0000 0.5000 [4 per cell]
Os: 0.2500 0.2500 0.2500 [4 per cell]

Values from the calculation:
total DFT energy (no corrections) = -7.682 eV/atom

***

Entry 18:
VASP calculation (PBE-GGA) on DyBi2 after structural relaxation.

a b c (Å): 15.3166 4.8191 5.0159
angles (deg): 90.00 90.26 90.00
Space group C2/m (No. 12)
Symmetry-distinct sites (fractional):
Dy: 0.2502 0.0000 0.2500 [4 per cell]
Bi: 0.1004 0.0000 0.7600 [4 per cell]
Bi: 0.1009 0.5000 0.2600 [4 per cell]

Values from the calculation:
total DFT energy (no corrections) = -4.601 eV/atom

***

Entry 19:
VASP calculation (PBE-GGA) on YZrSi2 after structural relaxation.

a b c (Å): 6.7787 6.7787 6.7787
angles (deg): 90.00 90.00 90.00
Space group F-43m (No. 216)
Symmetry-distinct sites (fractional):
Y: 0.0000 0.0000 0.0000 [4 per cell]
Zr: 0.2500 0.2500 0.7500 [4 per cell]
Si: 0.0000 0.0000 0.5000 [4 per cell]
Si: 0.2500 0.2500 0.2500 [4 per cell]

Values from the calculation:
E above lowest polymorph = 23.17 kcal/mol of atoms

***

Entry 20:
VASP calculation (PBE-GGA) on UIrOs after structural relaxation.

a b c (Å): 6.3083 6.3083 6.3083
angles (deg): 90.00 90.00 90.00
Space group F-43m (No. 216)
Symmetry-distinct sites (fractional):
U: 0.0000 0.0000 0.0000 [4 per cell]
Ir: 0.2500 0.2500 0.7500 [4 per cell]
Os: 0.2500 0.2500 0.2500 [4 per cell]

Values from the calculation:
E above lowest polymorph = 1.33 kcal/mol of atoms

***

Entry 21:
VASP calculation (PBE-GGA) on Cs3KTc2O6 after structural relaxation.

a b c (Å): 6.6624 6.6624 7.6962
angles (deg): 90.00 90.00 120.00
Space group P321 (No. 150)
Symmetry-distinct sites (fractional):
Cs: 0.0000 0.0000 0.0000 [1 per cell]
Cs: 0.3333 0.6667 0.7419 [2 per cell]
K: 0.0000 0.0000 0.5000 [1 per cell]
Tc: 0.3333 0.6667 0.2604 [2 per cell]
O: 0.1545 0.3595 0.2719 [6 per cell]

Values from the calculation:
total DFT energy (no corrections) = -5.936 eV/atom

***

Entry 22:
VASP calculation (PBE-GGA) on Dy2Ho2InNi2Sn4 after structural relaxation.

a b c (Å): 16.1295 4.5414 7.4173
angles (deg): 90.00 109.41 90.00
Space group C2/m (No. 12)
Symmetry-distinct sites (fractional):
Dy: 0.0911 0.0000 0.3928 [4 per cell]
Ho: 0.1573 0.0000 0.9526 [4 per cell]
In: 0.0000 0.5000 0.0000 [2 per cell]
Ni: 0.2208 0.5000 0.6472 [4 per cell]
Sn: 0.0698 0.5000 0.6770 [4 per cell]
Sn: 0.2018 0.5000 0.2731 [4 per cell]

Values from the calculation:
total DFT energy (no corrections) = -5.013 eV/atom

***

Entry 23:
VASP calculation (PBE-GGA) on LiTlZn after structural relaxation.

a b c (Å): 4.8212 4.8235 5.6234
angles (deg): 90.44 90.42 119.86
Space group P-1 (No. 2)
Symmetry-distinct sites (fractional):
Li: 0.1661 0.3324 0.2500 [2 per cell]
Tl: 0.1674 0.3336 0.7500 [2 per cell]
Zn: 0.5000 0.0000 0.0000 [1 per cell]
Zn: 0.5000 0.0000 0.5000 [1 per cell]

Values from the calculation:
E above lowest polymorph = 0.00 kcal/mol of atoms